w.
Material: AgP4Au
Method: DFT, GGA-PBE
State: relaxed

The total magnetic moment comes out at 0.000 μB/cell. The calculation puts the density of states at the Fermi level at 0.320 states/eV/atom.

The structure belongs to space group P-1 (No. 2); the cell edges are 3.259, 4.933 and 7.859 Å and the angles 89.94°, 89.83° and 71.30°. Symmetry generates all atoms from Ag at (0.000, 0.000, 0.000), P at (0.173, 0.657, 0.739), P at (0.175, 0.657, 0.261) and Au at (0.000, 0.000, 0.500).

***

x.
Material: AgP4Au
Method: DFT, GGA-PBE
State: relaxed

The total magnetic moment comes out at 0.000 μB/cell. The calculation puts the density of states at the Fermi level at 0.013 states/eV/atom.

The structure belongs to space group F-43m (No. 216); the cell edges are 7.916, 7.916 and 7.916 Å and the angles 90.00°, 90.00° and 90.00°. Symmetry generates all atoms from Ag at (0.000, 0.000, 0.000), P at (0.099, 0.099, 0.401) and Au at (0.250, 0.250, 0.750).

***

w has the most favorable energy; the next structure is 522 meV/atom above.

***

w.
Material: PaAg2Au
Method: DFT, GGA-PBE
State: relaxed

The total magnetic moment comes out at 0.996 μB/cell. The calculation puts the density of states at the Fermi level at 1.530 states/eV/atom.

The structure belongs to space group Fm-3m (No. 225); the cell edges are 6.926, 6.926 and 6.926 Å and the angles 90.00°, 90.00° and 90.00°. Symmetry generates all atoms from Pa at (0.000, 0.000, 0.000), Ag at (0.250, 0.250, 0.250) and Au at (0.000, 0.000, 0.500).

***

x.
Material: PaAg2Au
Method: DFT, GGA-PBE
State: relaxed

The total magnetic moment comes out at 1.544 μB/cell. The calculation puts the density of states at the Fermi level at 0.885 states/eV/atom.

The structure belongs to space group R-3m (No. 166, hexagonal axes); the cell edges are 2.9629, 2.9629 and 32.9190 Å and the angles 90.00°, 90.00° and 120.00°. Symmetry generates all atoms from Pa at (0.0000, 0.0000, 0.0000), Ag at (0.0000, 0.0000, 0.0928) and Au at (0.0000, 0.0000, 0.5000).

***

w has the most favorable energy; the next structure is 156 meV/atom above.

***

w.
Material: AgPbAu
Method: DFT, GGA-PBE
State: relaxed

The total magnetic moment comes out at 0.000 μB/cell. The calculation puts the density of states at the Fermi level at 0.363 states/eV/atom.

The structure belongs to space group P4/nmm (No. 129, origin choice 2); the cell edges are 4.206, 4.206 and 7.706 Å and the angles 90.00°, 90.00° and 90.00°. Symmetry generates all atoms from Ag at (0.250, 0.750, 0.000), Pb at (0.250, 0.250, 0.345) and Au at (0.250, 0.250, 0.740).

***

x.
Material: AgPbAu
Method: DFT, GGA-PBE
State: relaxed

The total magnetic moment comes out at 0.000 μB/cell. The calculation puts the density of states at the Fermi level at 0.443 states/eV/atom.

The structure belongs to space group F-43m (No. 216); the cell edges are 6.700, 6.700 and 6.700 Å and the angles 90.00°, 90.00° and 90.00°. Symmetry generates all atoms from Ag at (0.000, 0.000, 0.000), Pb at (0.000, 0.000, 0.500) and Au at (0.250, 0.250, 0.750).

***

w has the most favorable energy; the next structure is 64 meV/atom above.

***

w.
Material: AgPbAu
Method: DFT, GGA-PBE
State: relaxed

The total magnetic moment comes out at 0.000 μB/cell. The calculation puts the density of states at the Fermi level at 0.385 states/eV/atom.

The structure belongs to space group C2/m (No. 12); the cell edges are 7.973, 4.632 and 7.760 Å and the angles 90.00°, 90.63° and 90.00°. Symmetry generates all atoms from Ag at (0.167, 0.000, 0.434), Pb at (0.168, 0.000, 0.848) and Au at (0.000, 0.500, 0.310).

***

x.
Material: AgPbAu
Method: DFT, GGA-PBE
State: relaxed

The total magnetic moment comes out at 0.000 μB/cell. The calculation puts the density of states at the Fermi level at 0.234 states/eV/atom.

The structure belongs to space group P3m1 (No. 156); the cell edges are 4.8131, 4.8131 and 3.3983 Å and the angles 90.00°, 90.00° and 120.00°. Symmetry generates all atoms from Ag at (0.0000, 0.0000, 0.0000), Pb at (0.3333, 0.6667, 0.5069) and Au at (0.6667, 0.3333, 0.0163).

***

w has the most favorable energy; the next structure is 40 meV/atom above.

***

w.
Material: AgPb2Au2
Method: DFT, GGA-PBE
State: relaxed

The total magnetic moment comes out at 0.000 μB/cell. The calculation puts the density of states at the Fermi level at 0.418 states/eV/atom.

The structure belongs to space group I4/mmm (No. 139); the cell edges are 3.846, 3.846 and 16.771 Å and the angles 90.00°, 90.00° and 90.00°. Symmetry generates all atoms from Ag at (0.000, 0.000, 0.000), Pb at (0.000, 0.000, 0.398) and Au at (0.000, 0.500, 0.250).

***

x.
Material: AgPb2Au2
Method: DFT, GGA-PBE
State: relaxed

The total magnetic moment comes out at 0.000 μB/cell. The calculation puts the density of states at the Fermi level at 0.268 states/eV/atom.

The structure belongs to space group P4/mbm (No. 127); the cell edges are 8.096, 8.096 and 3.778 Å and the angles 90.00°, 90.00° and 90.00°. Symmetry generates all atoms from Ag at (0.000, 0.000, 0.000), Pb at (0.170, 0.330, 0.000) and Au at (0.131, 0.631, 0.500).

***

w has the most favorable energy; the next structure is 24 meV/atom above.

***

w.
Material: AgPb2Au2
Method: DFT, GGA-PBE
State: relaxed

The total magnetic moment comes out at 0.000 μB/cell. The calculation puts the density of states at the Fermi level at 0.450 states/eV/atom.

The structure belongs to space group P4/mbm (No. 127); the cell edges are 7.546, 7.546 and 4.210 Å and the angles 90.00°, 90.00° and 90.00°. Symmetry generates all atoms from Ag at (0.000, 0.000, 0.000), Pb at (0.167, 0.333, 0.500) and Au at (0.138, 0.638, 0.000).

***

x.
Material: AgPb2Au2
Method: DFT, GGA-PBE
State: relaxed

The total magnetic moment comes out at 0.000 μB/cell. The calculation puts the density of states at the Fermi level at 0.445 states/eV/atom.

The structure belongs to space group R-3m (No. 166, hexagonal axes); the cell edges are 4.6182, 4.6182 and 22.4327 Å and the angles 90.00°, 90.00° and 120.00°. Symmetry generates all atoms from Ag at (0.0000, 0.0000, 0.0000), Pb at (0.0000, 0.0000, 0.4281) and Au at (0.0000, 0.0000, 0.2857).

***

w has the most favorable energy; the next structure is 31 meV/atom above.

***

w.
Material: Ag3PbAu
Method: DFT, GGA-PBE
State: relaxed

The total magnetic moment comes out at 0.000 μB/cell. The calculation puts the density of states at the Fermi level at 0.371 states/eV/atom.

The structure belongs to space group Pm-3m (No. 221); the cell edges are 5.154, 5.154 and 5.154 Å and the angles 90.00°, 90.00° and 90.00°. Symmetry generates all atoms from Ag at (0.000, 0.000, 0.500), Pb at (0.500, 0.500, 0.500) and Au at (0.000, 0.000, 0.000).

***

x.
Material: Ag3PbAu
Method: DFT, GGA-PBE
State: relaxed

The total magnetic moment comes out at 0.000 μB/cell. The calculation puts the density of states at the Fermi level at 0.281 states/eV/atom.

The structure belongs to space group P6_3/mmc (No. 194); the cell edges are 6.9022, 6.9022 and 5.5192 Å and the angles 90.00°, 90.00° and 120.00°. Symmetry generates all atoms from Ag at (0.1994, 0.3988, 0.2500), Pb at (0.3333, 0.6667, 0.7500) and Au at (0.0000, 0.0000, 0.0000).

***

x has the most favorable energy; the next structure is 320 meV/atom above.